[1]
Density functional theory data (PBE) for crystalline EuTh2Sn at its relaxed geometry.

Cell: 4.9205 4.9205 4.9760 Å, 90.00 90.00 90.00°
Closest atoms and distances in Å follow each position.
Element x y z (fractional)
Eu: 0.0000 0.0000 0.0000  4 Sn 3.48, 8 Th 3.50
Th: 0.0000 0.5000 0.5000  4 Th 3.48, 4 Sn 3.50, 4 Eu 3.50
Th: 0.5000 0.0000 0.5000  4 Th 3.48, 4 Sn 3.50, 4 Eu 3.50
Sn: 0.5000 0.5000 0.0000  4 Eu 3.48, 8 Th 3.50

Properties
For the energy of formation from the pure elements, the calculation gives -5.7 kcal/mol of atoms. The space group is No. 123. The calculation puts the density of states at the Fermi level at 1.25 states/eV/atom. The polymorph energy (0 for the lowest one) comes out at 0 meV per atom. Its size of the total moment is 1.83 μB per atom.

---

[2]
Density functional theory data (PBE) for crystalline EuThSn2 at its relaxed geometry.

Cell: 5.0962 5.0962 4.4614 Å, 90.00 90.00 90.00°
Closest atoms and distances in Å follow each position.
Element x y z (fractional)
Eu: 0.0000 0.0000 0.0000  8 Sn 3.39, 4 Th 3.60
Th: 0.5000 0.5000 0.0000  8 Sn 3.39, 4 Eu 3.60
Sn: 0.0000 0.5000 0.5000  4 Th 3.39, 4 Eu 3.39, 4 Sn 3.60
Sn: 0.5000 0.0000 0.5000  4 Th 3.39, 4 Eu 3.39, 4 Sn 3.60

Properties
For the energy of formation from the pure elements, the calculation gives -12.2 kcal/mol of atoms. The space group is No. 123. The calculation puts the density of states at the Fermi level at 1.00 states/eV/atom. The polymorph energy (0 for the lowest one) comes out at 52 meV per atom. Its size of the total moment is 1.85 μB per atom.

---

[3]
Density functional theory data (PBE) for crystalline EuThSn2 at its relaxed geometry.

Cell: 3.5621 3.5621 9.1431 Å, 90.00 90.00 90.00°
Closest atoms and distances in Å follow each position.
Element x y z (fractional)
Eu: 0.0000 0.0000 0.0000  8 Sn 3.41, 4 Eu 3.56
Th: 0.0000 0.0000 0.5000  8 Sn 3.39, 4 Th 3.56
Sn: 0.5000 0.5000 0.2511  4 Th 3.39, 4 Eu 3.41, 4 Sn 3.56
Sn: 0.5000 0.5000 0.7489  4 Th 3.39, 4 Eu 3.41, 4 Sn 3.56

Properties
For the energy of formation from the pure elements, the calculation gives -13.4 kcal/mol of atoms. The space group is No. 123. The calculation puts the density of states at the Fermi level at 0.81 states/eV/atom. The polymorph energy (0 for the lowest one) comes out at 0 meV per atom. Its size of the total moment is 1.71 μB per atom.

---

Number 1: raw total energy -7.53 eV per atom. Number 2: raw total energy -6.95 eV per atom. Number 3: raw total energy -7.01 eV per atom.